Ba3LiFe2O6 after structural relaxation. Source: the Alexandria database, functional GGA+U.

The structure in POSCAR format:
```
Ba3LiFe2O6
1.0
6.063 0.000 0.000
-3.032 5.251 0.000
0.000 0.000 6.940
Ba Li Fe O
3 1 2 6
Direct
0.000 0.000 0.000
0.333 0.667 0.658
0.667 0.333 0.342
0.000 0.000 0.500
0.333 0.667 0.227
0.667 0.333 0.773
0.166 0.331 0.294
0.166 0.834 0.294
0.331 0.166 0.706
0.669 0.834 0.294
0.834 0.166 0.706
0.834 0.669 0.706
```

Output
DFT total energy (eV/atom): -5.88
Magnetic moment (μB per atom): 0.58